No. 1
# KNdI4

KNdI4 after structural relaxation (GGA-PBE, Alexandria via LeMat-Bulk).

```
12
Lattice="-1.231 2.777 -7.189 -2.583 -8.348 -1.403 -6.327 4.955 6.544" Properties=species:S:1:pos:R:3 pbc="T T T"
I -6.572 -4.289 0.543
I -8.286 -0.281 1.507
I -3.570 3.673 -2.590
I -6.399 -0.095 -2.871
I -7.405 5.642 -0.984
I -1.855 -0.335 -3.553
I -2.736 -6.258 -1.063
I -3.742 -0.520 0.824
Nd -7.892 -3.048 2.983
Nd -2.249 2.432 -5.029
K -4.190 -2.797 -1.791
K -5.951 2.181 -0.256
```

* offset from the most stable computed form: 0.006 eV per atom
* raw formation energy: -1.42 eV per atom

***

No. 2
# Pr4TlTeSe2

Pr4TlTeSe2 after structural relaxation (GGA-PBE, Alexandria via LeMat-Bulk).

```
8
Lattice="4.326 0.000 0.000 0.000 7.700 -0.223 0.000 2.644 7.213" Properties=species:S:1:pos:R:3 pbc="T T T"
Pr 0.000 7.870 5.195
Pr 4.326 2.475 1.795
Pr 2.163 3.800 5.438
Pr 2.163 6.545 1.552
Se 0.000 2.644 7.213
Se 2.163 1.322 3.607
Tl 2.163 3.850 -0.112
Te 0.000 5.172 3.495
```

* raw formation energy: -1.37 eV per atom

***

No. 3
# CsGaAgF6

CsGaAgF6 after structural relaxation (GGA-PBE, Alexandria via LeMat-Bulk).

```
36
Lattice="-1.900 -3.729 6.272 6.821 -3.419 0.033 3.936 7.908 5.893" Properties=species:S:1:pos:R:3 pbc="T T T"
Ga 1.018 2.090 6.083
Ga 3.410 -1.710 0.017
Ga 0.000 0.000 0.000
Ga 4.428 0.380 6.100
F 4.675 0.065 7.960
F 1.923 -3.799 5.415
F 1.758 3.337 10.465
F 3.906 -0.976 1.719
F 1.432 2.074 4.225
F 9.683 3.180 6.797
F 6.875 -2.981 5.959
F 6.933 4.559 6.784
F 7.324 1.922 8.377
F 7.099 -2.577 1.734
F 7.658 2.549 4.319
F 4.182 0.695 4.239
F 3.683 -1.381 5.943
F 4.951 1.736 10.480
F 6.225 -0.298 5.661
F 5.174 2.141 6.256
F 2.632 1.058 6.538
F 3.368 -5.994 5.942
F 7.424 -1.314 7.974
F 1.199 -1.789 7.881
F -0.826 -2.420 5.402
F 1.533 -1.162 3.822
F 5.489 6.754 6.257
F 1.982 3.741 6.240
Ag 2.325 0.408 2.752
Ag 7.510 2.273 6.354
Ag 1.347 -1.513 5.846
Ag 6.532 0.352 9.447
Cs 4.157 4.118 8.434
Cs 4.700 -3.358 3.765
Cs 4.731 -3.250 8.371
Cs 4.126 4.010 3.828
```

* offset from the most stable computed form: 0.000 eV per atom
* raw formation energy: -2.23 eV per atom

***

No. 4
# NaBeNi2Ir

NaBeNi2Ir after structural relaxation (GGA-PBE, Alexandria via LeMat-Bulk).

```
5
Lattice="4.151 0.000 0.000 0.000 4.634 0.000 0.000 0.000 4.151" Properties=species:S:1:pos:R:3 pbc="T T T"
Ni 0.000 0.000 2.076
Ni 2.076 0.000 0.000
Ir 0.000 2.317 0.000
Na 0.000 0.000 0.000
Be 2.076 2.317 2.076
```

* electronic total energy: -0.1153 hartree per atom

***

| no. | calculated volume (Å³/cell) |
| --- | --- |
| 1 | 602 |
| 2 | 243 |
| 3 | 611 |
| 4 | 80 |